*1*
The following is a PBE-GGA calculation of a relaxed Dy2CoI crystal, from Alexandria via LeMat-Bulk.

```
Dy2CoI
1.0
-2.162 -2.706 1.903
0.004 -3.756 -1.232
5.369 -3.697 4.948
Dy Co I
2 1 1
direct
0.060 0.060 0.821
0.274 0.274 0.177
0.667 0.667 0.999
0.499 0.499 0.503
```

Properties
The calculation puts the spin magnetization at 0.000 μB per cell.

---

*2*
The following is a PBE-GGA calculation of a relaxed Dy2CoI crystal, from Alexandria via LeMat-Bulk.

```
Dy2CoI
1.0
3.943 0.000 0.000
1.972 3.415 0.000
1.972 1.138 7.871
I Co Dy
1 1 2
direct
0.500 0.500 0.500
0.000 0.000 0.000
0.726 0.726 0.822
0.274 0.274 0.178
```

Properties
The calculation puts the spin magnetization at 0.000 μB per cell.

---

Least stable structure: *1*

---

*1*
The following is a PBE-GGA calculation of a relaxed Dy4In2Co crystal, from Alexandria via LeMat-Bulk.

```
Dy4In2Co
1.0
-1.994 4.536 -0.486
-4.424 -1.793 1.418
5.008 0.239 7.184
In Co Dy
2 1 4
direct
0.635 0.635 0.270
0.365 0.365 0.730
0.000 0.000 0.000
0.827 0.827 0.655
0.173 0.173 0.345
0.000 0.500 0.000
0.500 0.000 0.000
```

Properties
The calculation puts the spin magnetization at 0.000 μB per cell.

---

*2*
The following is a PBE-GGA calculation of a relaxed Dy4In2Co crystal, from Alexandria via LeMat-Bulk.

```
Dy4In2Co
1.0
-2.843 -2.093 0.787
4.308 -3.103 7.314
-5.535 6.709 -2.153
Dy In Co
4 2 1
direct
0.500 0.910 0.763
0.000 0.444 0.205
0.500 0.233 0.380
0.000 0.699 0.938
0.500 0.308 0.805
0.500 0.835 0.338
0.000 0.071 0.071
```

Properties
The calculation puts the spin magnetization at 0.000 μB per cell.

---

Least stable structure: *1*